#A
A plane-wave DFT calculation with GGA-PBE was carried out for an optimized crystal structure of YScRh.

Cell and atoms, written as POSCAR:
```
YScRh
1.0
4.621 0.000 0.000
0.000 4.096 0.000
-0.114 0.000 7.182
Y Sc Rh
2 2 2
Cartesian
1.065 1.024 2.626 Y
3.441 3.072 4.556 Y
1.041 3.072 7.141 Sc
3.466 1.024 0.041 Sc
0.909 1.024 5.486 Rh
3.597 3.072 1.696 Rh
```

Summary:
crystal system = monoclinic



#B
A plane-wave DFT calculation with GGA-PBE was carried out for an optimized crystal structure of YScRh.

Cell and atoms, written as POSCAR:
```
YScRh
1.0
-1.654 1.654 6.149
1.654 -1.654 6.149
1.654 1.654 -6.149
Y Sc Rh
1 1 1
Cartesian
0.000 0.000 0.000 Y
0.000 0.000 3.337 Sc
0.000 0.000 8.016 Rh
```

Summary:
crystal system = tetragonal



Relative energies in meV per atom: #A 0; #B 72